1.
Entry from Alexandria: a relaxed AcDy2Fe crystal (PBE).

a = 10.8494 Å, b = 10.8494 Å, c = 10.8494 Å
α = 19.60°, β = 19.60°, γ = 19.60°
With the nearest neighbours (Å) after each atom.
Atoms (fractional coordinates):
Ac (0.0000, 0.0000, 0.0000)  2 Dy 3.69, 6 Ac 3.69
Dy (0.1155, 0.1155, 0.1155)  3 Fe 2.69
Dy (0.8845, 0.8845, 0.8845)  3 Fe 2.69
Fe (0.5000, 0.5000, 0.5000)  6 Dy 2.69

Calculated values
Crystal system: trigonal
Space-group type: No. 166
E_form: 314 meV/atom
E above lowest polymorph: 0.72 eV/f.u.
V: 31.4 A^3/atom
Total energy: -20.5 eV/cell

=====

2.
Entry from Alexandria: a relaxed AcDy3Fe crystal (PBE).

a = 5.3635 Å, b = 5.3635 Å, c = 5.3635 Å
α = 90.00°, β = 90.00°, γ = 90.00°
With the nearest neighbours (Å) after each atom.
Atoms (fractional coordinates):
Ac (0.0000, 0.0000, 0.0000)  12 Dy 3.79
Dy (0.0000, 0.5000, 0.5000)  2 Fe 2.68
Dy (0.5000, 0.0000, 0.5000)  2 Fe 2.68
Dy (0.5000, 0.5000, 0.0000)  2 Fe 2.68
Fe (0.5000, 0.5000, 0.5000)  6 Dy 2.68

Calculated values
Crystal system: cubic
Space-group type: No. 221
E_form: 90 meV/atom
V: 30.9 A^3/atom
Total energy: -25.9 eV/cell

=====

3.
Entry from Alexandria: a relaxed AcDy2FeN4 crystal (PBE).

a = 6.0941 Å, b = 6.0941 Å, c = 11.6341 Å
α = 90.00°, β = 90.00°, γ = 146.89°
With the nearest neighbours (Å) after each atom.
Atoms (fractional coordinates):
Ac (0.1018, 0.8982, 0.7500)  6 N 2.76-2.90
Ac (0.8982, 0.1018, 0.2500)  6 N 2.76-2.90
Dy (0.3674, 0.6326, 0.5453)  6 N 2.32-2.49
Dy (0.3674, 0.6326, 0.9547)  6 N 2.32-2.49
Dy (0.6326, 0.3674, 0.0453)  6 N 2.32-2.49
Dy (0.6326, 0.3674, 0.4547)  6 N 2.32-2.49
Fe (0.1663, 0.8337, 0.2500)  4 N 1.85-1.91
Fe (0.8337, 0.1663, 0.7500)  4 N 1.85-1.91
N (0.0000, 0.0000, 0.0000)  4 Dy 2.39
N (0.0000, 0.0000, 0.5000)  4 Dy 2.39
N (0.2639, 0.7361, 0.1248)  1 Fe 1.85
N (0.2639, 0.7361, 0.3752)  1 Fe 1.85
N (0.4025, 0.5975, 0.7500)  2 Fe 1.91
N (0.5975, 0.4025, 0.2500)  2 Fe 1.91
N (0.7361, 0.2639, 0.6248)  1 Fe 1.85
N (0.7361, 0.2639, 0.8752)  1 Fe 1.85

Calculated values
Crystal system: orthorhombic
Space-group type: No. 63
V: 14.7 A^3/atom
Total energy: -127.9 eV/cell
Formation energy (no corrections): -1.1087 eV/atom